# 1
Below is an optimized crystal structure of Sc2BiRh, with properties calculated at the PBE level.

a b c (Å): 7.610 7.610 6.308
angles (deg): 90.00 90.00 90.00
Space group I-42d (No. 122)
Inequivalent atoms, fractional coordinates:
Sc: 0.196 0.250 0.125
Bi: 0.000 0.000 0.500
Rh: 0.000 0.000 0.000

Output
The total magnetization is 0.00 μB/f.u. For the formation energy, the calculation gives -0.424 eV/atom. The density of states at the Fermi level comes out at 4.13 states/eV/f.u. The calculated density comes out at 7.31 Mg/m³.


# 2
Below is an optimized crystal structure of Tb6Ge2TeSe3, with properties calculated at the PBE level.

a b c (Å): 18.180 4.179 8.406
angles (deg): 90.00 102.63 90.00
Space group C2/m (No. 12)
Inequivalent atoms, fractional coordinates:
Tb: 0.007 0.000 0.270
Tb: 0.170 0.500 0.577
Tb: 0.173 0.500 0.103
Ge: 0.167 0.000 0.335
Te: 0.000 0.500 0.000
Se: 0.000 0.500 0.500
Se: 0.163 0.000 0.836

Output
The total magnetization is 0.00 μB/f.u. The value obtained for the formation energy without anion corrections is -1.4794 eV per atom. The density of states at the Fermi level comes out at 4.03 states/eV/f.u. The calculated density comes out at 7.80 Mg/m³.


# 3
Below is an optimized crystal structure of Ga2CuHgI, with properties calculated at the PBE level.

a b c (Å): 4.955 4.955 5.173
angles (deg): 90.00 90.00 90.00
Space group P4/mmm (No. 123)
Inequivalent atoms, fractional coordinates:
Ga: 0.000 0.500 0.000
Cu: 0.000 0.000 0.000
Hg: 0.000 0.000 0.500
I: 0.500 0.500 0.500

Output
The total magnetization is 0.00 μB/f.u. The value obtained for the formation energy without anion corrections is -0.0035 eV per atom. The density of states at the Fermi level comes out at 1.80 states/eV/f.u. The calculated density comes out at 6.94 Mg/m³.


# 4
Below is an optimized crystal structure of GaI3Cl4, with properties calculated at the PBE level.

a b c (Å): 8.323 9.163 9.822
angles (deg): 89.87 89.63 85.83
Space group P1 (No. 1)
Inequivalent atoms, fractional coordinates:
Ga: 0.000 0.000 0.000
Ga: 0.068 0.422 0.498
I: 0.431 0.697 0.921
I: 0.433 0.217 0.920
I: 0.435 0.974 0.453
I: 0.632 0.447 0.953
I: 0.635 0.204 0.421
I: 0.636 0.724 0.422
Cl: 0.017 0.547 0.681
Cl: 0.051 0.877 0.184
Cl: 0.107 0.186 0.534
Cl: 0.234 0.509 0.355
Cl: 0.247 0.981 0.874
Cl: 0.821 0.441 0.374
Cl: 0.835 0.910 0.860
Cl: 0.960 0.236 0.033

Output
The total magnetization is 0.00 μB/f.u. The value obtained for the formation energy without anion corrections is -0.5826 eV per atom. The calculated density comes out at 2.63 Mg/m³.


# 5
Below is an optimized crystal structure of Tm2Zn2SnRh5, with properties calculated at the PBE level.

a b c (Å): 9.654 9.654 3.641
angles (deg): 90.00 90.00 90.00
Space group P4/mbm (No. 127)
Inequivalent atoms, fractional coordinates:
Tm: 0.173 0.327 0.000
Zn: 0.125 0.625 0.000
Sn: 0.000 0.000 0.000
Rh: 0.000 0.500 0.500
Rh: 0.070 0.795 0.500

Output
The total magnetization is 0.00 μB/f.u. For the formation energy, the calculation gives -0.679 eV/atom. The density of states at the Fermi level comes out at 6.23 states/eV/f.u. The calculated density comes out at 10.78 Mg/m³.


# 6
Below is an optimized crystal structure of Pr6Sn3Au, with properties calculated at the PBE level.

a b c (Å): 11.462 15.221 7.406
angles (deg): 90.00 90.00 90.00
Space group Cmc2_1 (No. 36)
Inequivalent atoms, fractional coordinates:
Pr: 0.000 0.043 0.000
Pr: 0.000 0.296 0.028
Pr: 0.179 0.298 0.562
Pr: 0.224 0.450 0.202
Sn: 0.000 0.465 0.486
Sn: 0.138 0.126 0.336
Au: 0.000 0.161 0.686

Output
The total magnetization is 0.00 μB/f.u. For the formation energy, the calculation gives -0.494 eV/atom. The density of states at the Fermi level comes out at 11.02 states/eV/f.u. The calculated density comes out at 7.19 Mg/m³.


# 7
Below is an optimized crystal structure of CoSi2SbIr, with properties calculated at the PBE level.

a b c (Å): 4.457 4.457 5.848
angles (deg): 90.00 90.00 90.00
Space group P4/mmm (No. 123)
Inequivalent atoms, fractional coordinates:
Co: 0.000 0.000 0.000
Si: 0.000 0.500 0.500
Sb: 0.500 0.500 0.000
Ir: 0.500 0.500 0.500

Output
The total magnetization is 1.66 μB/f.u. The value obtained for the formation energy without anion corrections is 0.7755 eV per atom. The density of states at the Fermi level comes out at 3.93 states/eV/f.u. The calculated density comes out at 6.13 Mg/m³.


# 8
Below is an optimized crystal structure of Li3ScF6, with properties calculated at the PBE level.

a b c (Å): 8.8912 8.8912 9.6425
angles (deg): 90.00 90.00 120.00
Space group P-3c1 (No. 165)
Inequivalent atoms, fractional coordinates:
Li: 0.0000 0.3016 0.2500
Li: 0.0205 0.3599 0.9629
Sc: 0.0000 0.0000 0.0000
Sc: 0.3333 0.6667 0.2350
F: 0.1082 0.2272 0.1068
F: 0.1117 0.5406 0.1177
F: 0.2164 0.4475 0.3542

Output
The total magnetization is 0.00 μB/f.u. The value obtained for the formation energy without anion corrections is -3.3578 eV per atom. The density of states at the Fermi level comes out at 0.00 states/eV/f.u. The calculated density comes out at 2.71 Mg/m³.


# 9
Below is an optimized crystal structure of Tb2Ni4Ge3Ir, with properties calculated at the PBE level.

a b c (Å): 4.006 4.006 10.092
angles (deg): 90.00 90.00 90.00
Space group P-4m2 (No. 115)
Inequivalent atoms, fractional coordinates:
Tb: 0.000 0.500 0.250
Ni: 0.000 0.000 0.000
Ni: 0.000 0.500 0.642
Ni: 0.500 0.500 0.000
Ge: 0.000 0.500 0.873
Ge: 0.500 0.500 0.500
Ir: 0.000 0.000 0.500

Output
The total magnetization is 0.00 μB/f.u. For the formation energy, the calculation gives -0.599 eV/atom. The density of states at the Fermi level comes out at 9.04 states/eV/f.u. The calculated density comes out at 9.87 Mg/m³.


# 10
Below is an optimized crystal structure of Mn3As2, with properties calculated at the PBE level.

a b c (Å): 6.283 10.094 4.942
angles (deg): 90.00 90.00 90.00
Space group Ibam (No. 72)
Inequivalent atoms, fractional coordinates:
Mn: 0.000 0.000 0.250
Mn: 0.142 0.390 0.000
As: 0.246 0.138 0.000

Output
The total magnetization is 8.61 μB/f.u. For the formation energy, the calculation gives -0.090 eV/atom. The density of states at the Fermi level comes out at 3.78 states/eV/f.u. The calculated density comes out at 6.67 Mg/m³.


# 11
Below is an optimized crystal structure of SrCrSe2, with properties calculated at the PBE level.

a b c (Å): 12.405 4.046 4.535
angles (deg): 90.00 92.99 90.00
Space group Cm (No. 8)
Inequivalent atoms, fractional coordinates:
Sr: 0.000 0.000 0.000
Cr: 0.226 0.500 0.671
Se: 0.036 0.500 0.501
Se: 0.275 0.000 0.963

Output
The total magnetization is 4.00 μB/f.u. The value obtained for the formation energy without anion corrections is -0.9351 eV per atom. The density of states at the Fermi level comes out at 1.82 states/eV/f.u. The calculated density comes out at 4.35 Mg/m³.


# 12
Below is an optimized crystal structure of PmPu3Pd12, with properties calculated at the PBE level.

a b c (Å): 4.153 4.153 16.659
angles (deg): 90.00 90.00 90.00
Space group P4/mmm (No. 123)
Inequivalent atoms, fractional coordinates:
Pm: 0.000 0.000 0.000
Pu: 0.000 0.000 0.250
Pu: 0.000 0.000 0.500
Pd: 0.000 0.500 0.128
Pd: 0.000 0.500 0.375
Pd: 0.500 0.500 0.000
Pd: 0.500 0.500 0.251
Pd: 0.500 0.500 0.500

Output
The total magnetization is 4.32 μB/f.u. For the formation energy, the calculation gives -0.617 eV/atom. The density of states at the Fermi level comes out at 54.15 states/eV/f.u. The calculated density comes out at 12.45 Mg/m³.


# 13
Below is an optimized crystal structure of Ca3GaNi, with properties calculated at the PBE level.

a b c (Å): 5.335 5.335 5.335
angles (deg): 90.00 90.00 90.00
Space group Pm-3m (No. 221)
Inequivalent atoms, fractional coordinates:
Ca: 0.000 0.000 0.500
Ga: 0.500 0.500 0.500
Ni: 0.000 0.000 0.000

Output
The total magnetization is 0.00 μB/f.u. For the formation energy, the calculation gives -0.019 eV/atom. The density of states at the Fermi level comes out at 4.12 states/eV/f.u. The calculated density comes out at 2.72 Mg/m³.


# 14
Below is an optimized crystal structure of MgRe2Te, with properties calculated at the PBE level.

a b c (Å): 3.901 3.901 4.603
angles (deg): 90.00 90.00 90.00
Space group P4/mmm (No. 123)
Inequivalent atoms, fractional coordinates:
Mg: 0.000 0.000 0.000
Re: 0.000 0.500 0.500
Te: 0.500 0.500 0.000

Output
The total magnetization is 0.32 μB/f.u. The value obtained for the formation energy without anion corrections is 0.8011 eV per atom. The density of states at the Fermi level comes out at 4.60 states/eV/f.u. The calculated density comes out at 12.43 Mg/m³.


# 15
Below is an optimized crystal structure of KSb2Se2, with properties calculated at the PBE level.

a b c (Å): 9.009 9.009 3.815
angles (deg): 90.00 90.00 90.00
Space group P4/mbm (No. 127)
Inequivalent atoms, fractional coordinates:
K: 0.000 0.000 0.000
Sb: 0.131 0.369 0.000
Se: 0.219 0.719 0.500

Output
The total magnetization is 0.00 μB/f.u. The value obtained for the formation energy without anion corrections is -0.2527 eV per atom. The density of states at the Fermi level comes out at 1.47 states/eV/f.u. The calculated density comes out at 4.73 Mg/m³.


# 16
Below is an optimized crystal structure of LaMgZrIn, with properties calculated at the PBE level.

a b c (Å): 7.467 7.467 7.467
angles (deg): 90.00 90.00 90.00
Space group F-43m (No. 216)
Inequivalent atoms, fractional coordinates:
La: 0.000 0.000 0.000
Mg: 0.250 0.250 0.750
Zr: 0.000 0.000 0.500
In: 0.250 0.250 0.250

Output
The total magnetization is 0.00 μB/f.u. For the formation energy, the calculation gives -0.139 eV/atom. The density of states at the Fermi level comes out at 1.89 states/eV/f.u. The calculated density comes out at 5.89 Mg/m³.


# 17
Below is an optimized crystal structure of HfSc2Tl3S6, with properties calculated at the PBE level.

a b c (Å): 6.420 11.121 8.379
angles (deg): 90.00 104.89 90.00
Space group C2/m (No. 12)
Inequivalent atoms, fractional coordinates:
Hf: 0.000 0.000 0.000
Sc: 0.000 0.333 0.000
Tl: 0.000 0.166 0.500
Tl: 0.000 0.500 0.500
S: 0.224 0.164 0.178
S: 0.231 0.500 0.178

Output
The total magnetization is 0.00 μB/f.u. The value obtained for the formation energy without anion corrections is -1.2984 eV per atom. The density of states at the Fermi level comes out at 3.29 states/eV/f.u. The calculated density comes out at 6.17 Mg/m³.


# 18
Below is an optimized crystal structure of BaTl3P, with properties calculated at the PBE level.

a b c (Å): 5.554 5.554 5.554
angles (deg): 90.00 90.00 90.00
Space group Pm-3m (No. 221)
Inequivalent atoms, fractional coordinates:
Ba: 0.000 0.000 0.000
Tl: 0.000 0.500 0.500
P: 0.500 0.500 0.500

Output
The total magnetization is 0.00 μB/f.u. For the formation energy, the calculation gives 0.084 eV/atom. The density of states at the Fermi level comes out at 4.74 states/eV/f.u. The calculated density comes out at 7.58 Mg/m³.


# 19
Below is an optimized crystal structure of CaLaGe, with properties calculated at the PBE level.

a b c (Å): 3.621 3.621 14.100
angles (deg): 90.00 90.00 90.00
Space group I4mm (No. 107)
Inequivalent atoms, fractional coordinates:
Ca: 0.000 0.000 0.000
La: 0.000 0.000 0.736
Ge: 0.000 0.000 0.368

Output
The total magnetization is 0.00 μB/f.u. For the formation energy, the calculation gives -0.413 eV/atom. The density of states at the Fermi level comes out at 3.33 states/eV/f.u. The calculated density comes out at 4.52 Mg/m³.


# 20
Below is an optimized crystal structure of GaRh2, with properties calculated at the PBE level.

a b c (Å): 6.145 6.145 2.822
angles (deg): 90.00 90.00 90.00
Space group P4_2/mnm (No. 136)
Inequivalent atoms, fractional coordinates:
Ga: 0.000 0.000 0.000
Rh: 0.227 0.227 0.500

Output
The total magnetization is 0.00 μB/f.u. For the formation energy, the calculation gives 0.387 eV/atom. The density of states at the Fermi level comes out at 4.26 states/eV/f.u. The calculated density comes out at 8.59 Mg/m³.


no.,final energy (eV/cell)
1,-102.37
2,-136.73
3,-12.02
4,-39.45
5,-118.09
6,-195.59
7,-27.06
8,-341.27
9,-61.08
10,-149.04
11,-44.03
12,-119.93
13,-14.91
14,-26.43
15,-35.15
16,-73.46
17,-140.12
18,-14.01
19,-25.57
20,-33.14